w.
Material: CaFe2Cl
Method: DFT, PBE-GGA
State: relaxed

Computed properties:
* space-group type: Pmmm

Cell lengths 3.2690, 4.9967, 5.2074 Å; angles 90.00, 90.00, 90.00 degrees
Closest atoms and distances in Å follow each position.
Sites, in units of the cell vectors:
Ca 0.5000 0.5000 0.2500  2 Cl 2.60
Fe 0.0000 0.0000 0.4596  1 Fe 2.18
Cl 0.5000 0.5000 0.7500  2 Ca 2.60
Fe 0.0000 0.0000 0.0404  1 Fe 2.18

=====

x.
Material: CaFe2Cl
Method: DFT, PBE-GGA
State: relaxed

Computed properties:
* space-group type: P1

Cell lengths 3.9511, 7.4017, 6.3507 Å; angles 148.44, 100.12, 95.99 degrees
Closest atoms and distances in Å follow each position.
Sites, in units of the cell vectors:
Cl 0.7358 0.0576 0.2966  2 Fe 2.54-2.62
Fe 0.9587 0.1647 0.0329  3 Fe 2.26-2.27
Fe 0.2999 0.8356 0.7024  3 Fe 2.26-2.27
Ca 0.5056 0.4420 0.9681  3 Cl 2.87-2.91, 6 Fe 3.08-3.14

=====

y.
Material: CaFe2Cl
Method: DFT, PBE-GGA
State: relaxed

Computed properties:
* space-group type: Immm

Cell lengths 6.1609, 6.1609, 3.5306 Å; angles 106.61, 106.61, 35.66 degrees
Closest atoms and distances in Å follow each position.
Sites, in units of the cell vectors:
Fe 0.4730 0.4730 0.4731  1 Cl 2.50, 4 Fe 2.65
Fe 0.0270 0.0270 0.0269  1 Cl 2.50, 4 Fe 2.65
Ca 0.7500 0.7500 0.7500  4 Cl 2.58
Cl 0.2500 0.2500 0.2500  2 Fe 2.50, 4 Ca 2.58

=====

z.
Material: CaFe2Cl
Method: DFT, PBE-GGA
State: relaxed

Computed properties:
* space-group type: P4mm

Cell lengths 3.2580, 3.2579, 8.2016 Å; angles 90.00, 90.00, 89.99 degrees
Closest atoms and distances in Å follow each position.
Sites, in units of the cell vectors:
Fe 0.0000 0.0000 0.1170  4 Fe 2.46
Fe 0.5000 0.5000 0.2208  4 Fe 2.46
Cl 0.5000 0.5000 0.6744  4 Ca 2.77
Ca 0.0000 0.0000 0.4877  4 Cl 2.77, 1 Fe 3.04

=====

Energies relative to the most stable structure are w 555; x 119; y 107; z 0, reported in meV/atom.